Record 1
# PBE BaTl2F6, relaxed
data_BaTl2F6
_space_group_name_H-M_alt 'P 1'
_space_group_IT_number 1
_space_group_name_Hall 'P 1'
_cell_length_a 6.309
_cell_length_b 6.309
_cell_length_c 5.545
_cell_angle_alpha 90.00
_cell_angle_beta 90.00
_cell_angle_gamma 120.00
loop_
_atom_site_label
_atom_site_fract_x
_atom_site_fract_y
_atom_site_fract_z
_atom_site_occupancy
Ba1 0.000 0.000 0.000 1
Tl1 0.333 0.667 0.500 1
Tl2 0.667 0.333 0.500 1
F1 0.653 0.000 0.274 1
F2 0.347 0.347 0.274 1
F3 0.000 0.653 0.274 1
F4 0.653 0.653 0.726 1
F5 0.000 0.347 0.726 1
F6 0.347 0.000 0.726 1
# Fermi-level density of states, states/eV/cell: 1.39
# Formation energy (no corrections), eV/atom: -2.41
# Symmetry: P-31m, No. 162

***

Record 2
# PBE YPaTe2, relaxed
data_YPaTe2
_space_group_name_H-M_alt 'P 1'
_space_group_IT_number 1
_space_group_name_Hall 'P 1'
_cell_length_a 5.320
_cell_length_b 5.320
_cell_length_c 5.320
_cell_angle_alpha 60.00
_cell_angle_beta 60.00
_cell_angle_gamma 60.00
loop_
_atom_site_label
_atom_site_fract_x
_atom_site_fract_y
_atom_site_fract_z
_atom_site_occupancy
Y1 0.000 0.000 0.000 1
Pa1 0.500 0.500 0.500 1
Te1 0.250 0.250 0.250 1
Te2 0.750 0.750 0.750 1
# Fermi-level density of states, states/eV/cell: 6.24
# Energy relative to the lowest polymorph listed for this composition, eV per formula unit: 0.17
# Formation energy (no corrections), eV/atom: -0.86
# Symmetry: Fm-3m, No. 225

***

Record 3
# PBE Nd3DyAu2, relaxed
data_Nd3DyAu2
_space_group_name_H-M_alt 'P 1'
_space_group_IT_number 1
_space_group_name_Hall 'P 1'
_cell_length_a 5.108
_cell_length_b 7.208
_cell_length_c 9.296
_cell_angle_alpha 90.00
_cell_angle_beta 90.00
_cell_angle_gamma 90.00
loop_
_atom_site_label
_atom_site_fract_x
_atom_site_fract_y
_atom_site_fract_z
_atom_site_occupancy
Nd1 0.000 0.493 0.925 1
Nd2 0.000 0.993 0.075 1
Nd3 0.500 0.652 0.166 1
Nd4 0.500 0.152 0.834 1
Nd5 0.000 0.348 0.337 1
Nd6 0.000 0.848 0.663 1
Dy1 0.500 0.507 0.574 1
Dy2 0.500 0.007 0.426 1
Au1 0.500 0.734 0.841 1
Au2 0.500 0.234 0.159 1
Au3 0.000 0.266 0.650 1
Au4 0.000 0.766 0.350 1
# Energy of formation from the pure elements, meV per atom: -558
# Fermi-level density of states, states/eV/cell: 12.31
# Symmetry: Pmc2_1, No. 26

***

Record 4
# PBE VZnRu, relaxed
data_VZnRu
_space_group_name_H-M_alt 'P 1'
_space_group_IT_number 1
_space_group_name_Hall 'P 1'
_cell_length_a 2.716
_cell_length_b 4.200
_cell_length_c 4.200
_cell_angle_alpha 120.00
_cell_angle_beta 90.00
_cell_angle_gamma 90.00
loop_
_atom_site_label
_atom_site_fract_x
_atom_site_fract_y
_atom_site_fract_z
_atom_site_occupancy
Ru1 0.721 0.667 0.333 1
Zn1 0.328 0.333 0.667 1
V1 0.951 0.000 0.000 1
# Energy of formation from the pure elements, meV per atom: -102
# Fermi-level density of states, states/eV/cell: 2.40
# Energy relative to the lowest polymorph listed for this composition, eV per formula unit: 0.00
# Symmetry: P3m1, No. 156

***

Copy entry 3 word for word.
# PBE Nd3DyAu2, relaxed
data_Nd3DyAu2
_space_group_name_H-M_alt 'P 1'
_space_group_IT_number 1
_space_group_name_Hall 'P 1'
_cell_length_a 5.108
_cell_length_b 7.208
_cell_length_c 9.296
_cell_angle_alpha 90.00
_cell_angle_beta 90.00
_cell_angle_gamma 90.00
loop_
_atom_site_label
_atom_site_fract_x
_atom_site_fract_y
_atom_site_fract_z
_atom_site_occupancy
Nd1 0.000 0.493 0.925 1
Nd2 0.000 0.993 0.075 1
Nd3 0.500 0.652 0.166 1
Nd4 0.500 0.152 0.834 1
Nd5 0.000 0.348 0.337 1
Nd6 0.000 0.848 0.663 1
Dy1 0.500 0.507 0.574 1
Dy2 0.500 0.007 0.426 1
Au1 0.500 0.734 0.841 1
Au2 0.500 0.234 0.159 1
Au3 0.000 0.266 0.650 1
Au4 0.000 0.766 0.350 1
# Energy of formation from the pure elements, meV per atom: -558
# Fermi-level density of states, states/eV/cell: 12.31
# Symmetry: Pmc2_1, No. 26